# Ni3Pt2W

A geometry-optimized Ni3Pt2W structure (PBE, Alexandria).

energy of formation = -0.087 eV per atom
total magnetic moment = 0.000 μB per atom
space-group type = Fmmm
final energy = -7.15 eV per atom

a b c (Å): 4.9298 4.9298 7.7888
angles (deg): 100.47 100.47 115.19
Fractional coordinates of all 12 atoms:
Pt 0.2500 0.7500 0.5000
Pt 0.7497 0.7497 0.0000
Pt 0.2503 0.2503 0.0000
Pt 0.7500 0.2500 0.5000
Ni 0.8349 0.3283 0.1632
Ni 0.8349 0.8349 0.6699
Ni 0.1651 0.1651 0.3301
Ni 0.6717 0.1651 0.8368
Ni 0.1651 0.6717 0.8368
Ni 0.3283 0.8349 0.1632
W 0.6650 0.6650 0.3300
W 0.3350 0.3350 0.6700

# Ni2PtW

A geometry-optimized Ni2PtW structure (PBE, Alexandria).

energy of formation = -0.199 eV per atom
total magnetic moment = 0.000 μB per atom
space-group type = I-4m2
final energy = -7.84 eV per atom

a b c (Å): 4.6744 4.6744 4.6744
angles (deg): 133.42 133.44 67.98
Fractional coordinates of all 4 atoms:
Ni 0.7500 0.2500 0.5000
Ni 0.9999 0.9999 0.0000
W 0.2500 0.7500 0.5000
Pt 0.5000 0.5000 0.0000

# NiPt2W

A geometry-optimized NiPt2W structure (PBE, Alexandria).

energy of formation = -0.139 eV per atom
total magnetic moment = 0.000 μB per atom
space-group type = C2/m
final energy = -7.84 eV per atom

a b c (Å): 4.7475 4.7475 4.7196
angles (deg): 79.98 79.98 33.87
Fractional coordinates of all 4 atoms:
Pt 0.5017 0.5017 0.4983
Pt 0.9983 0.9983 0.0017
W 0.7500 0.7500 0.7500
Ni 0.2500 0.2500 0.2500

# Ni2PtW

A geometry-optimized Ni2PtW structure (PBE, Alexandria).

energy of formation = 0.013 eV per atom
total magnetic moment = 0.137 μB per atom
space-group type = R-3m
final energy = -7.63 eV per atom

a b c (Å): 8.6963 8.6963 8.6963
angles (deg): 17.98 17.98 17.98
Last column: magnetic moment on the atom in μB.
Fractional coordinates of all 4 atoms:
Ni 0.4984 0.4984 0.4984  0.26
Ni 0.0016 0.0016 0.0016  0.26
W 0.7500 0.7500 0.7500  0.04
Pt 0.2500 0.2500 0.2500  0.01

# NiPt2W

A geometry-optimized NiPt2W structure (PBE, Alexandria).

energy of formation = -0.014 eV per atom
total magnetic moment = 0.000 μB per atom
space-group type = Fm-3m
final energy = -7.72 eV per atom

a b c (Å): 4.3813 4.3813 4.3813
angles (deg): 60.00 60.00 60.00
Fractional coordinates of all 4 atoms:
Pt 0.2500 0.2500 0.2500
Pt 0.7500 0.7500 0.7500
Ni 0.0000 0.0000 0.0000
W 0.5000 0.5000 0.5000

# Ni2PtW

A geometry-optimized Ni2PtW structure (PBE, Alexandria).

energy of formation = -0.153 eV per atom
total magnetic moment = 0.000 μB per atom
space-group type = P2_1/c
final energy = -7.79 eV per atom

a b c (Å): 4.6849 5.1467 8.8671
angles (deg): 92.73 90.00 90.00
Fractional coordinates of all 16 atoms:
Ni 0.1645 0.0681 0.1860
Ni 0.3328 0.5524 0.1901
Ni 0.8355 0.9319 0.8140
Ni 0.6672 0.4476 0.8099
Ni 0.3355 0.0681 0.6860
Ni 0.6645 0.9319 0.3140
Ni 0.8328 0.4476 0.3099
Ni 0.1672 0.5524 0.6901
W 0.1596 0.3074 0.9324
W 0.6596 0.6926 0.5676
W 0.8404 0.6926 0.0676
W 0.3404 0.3074 0.4324
Pt 0.1616 0.8053 0.4350
Pt 0.6616 0.1947 0.0650
Pt 0.8384 0.1947 0.5650
Pt 0.3384 0.8053 0.9350

# Ni3Pt2W2

A geometry-optimized Ni3Pt2W2 structure (PBE, Alexandria).

energy of formation = -0.015 eV per atom
total magnetic moment = 0.000 μB per atom
space-group type = Pmmm
final energy = -7.92 eV per atom

a b c (Å): 2.7246 4.5992 7.9494
angles (deg): 89.98 90.00 90.00
Fractional coordinates of all 7 atoms:
Ni 0.0000 0.2599 0.4998
Ni 0.0000 0.0000 0.0000
Ni 0.0000 0.7401 0.5002
Pt 0.0000 0.5002 0.8234
Pt 0.0000 0.4998 0.1766
W 0.5000 0.9997 0.2742
W 0.5000 0.0003 0.7258

# NiPt2W

A geometry-optimized NiPt2W structure (PBE, Alexandria).

energy of formation = -0.121 eV per atom
total magnetic moment = 0.000 μB per atom
space-group type = Cmmm
final energy = -7.83 eV per atom

a b c (Å): 4.7633 6.1166 2.7537
angles (deg): 63.20 90.02 120.78
Fractional coordinates of all 4 atoms:
Pt 0.0000 0.0000 0.0000
Pt 0.0000 0.5000 0.5000
Ni 0.5000 0.0000 0.5000
W 0.5000 0.5000 0.0000

# Ni3Pt12W

A geometry-optimized Ni3Pt12W structure (PBE, Alexandria).

energy of formation = -0.126 eV per atom
total magnetic moment = 0.228 μB per atom
space-group type = P4/mmm
final energy = -6.55 eV per atom

a b c (Å): 3.9178 3.9178 15.5518
angles (deg): 90.00 90.00 90.00
Last column: magnetic moment on the atom in μB.
Fractional coordinates of all 16 atoms:
Pt 0.0000 0.5000 0.6234  0.21
Pt 0.5000 0.0000 0.3766  0.21
Pt 0.5000 0.5000 0.5000  0.19
Pt 0.5000 0.5000 0.7480  0.19
Pt 0.0000 0.5000 0.1255  0.06
Pt 0.5000 0.0000 0.1255  0.06
Pt 0.0000 0.5000 0.3766  0.21
Pt 0.5000 0.5000 0.2520  0.19
Pt 0.0000 0.5000 0.8745  0.06
Pt 0.5000 0.0000 0.6234  0.21
Pt 0.5000 0.0000 0.8745  0.06
Pt 0.5000 0.5000 0.0000  0.04
Ni 0.0000 0.0000 0.5000  0.74
Ni 0.0000 0.0000 0.2563  0.69
Ni 0.0000 0.0000 0.7437  0.69
W 0.0000 0.0000 0.0000  -0.08

# Ni3PtW

A geometry-optimized Ni3PtW structure (PBE, Alexandria).

energy of formation = 0.001 eV per atom
total magnetic moment = 0.000 μB per atom
space-group type = Cmcm
final energy = -7.27 eV per atom

a b c (Å): 3.8424 5.1939 6.8571
angles (deg): 90.00 106.28 90.00
Fractional coordinates of all 10 atoms:
W 0.9918 0.7500 0.4839
W 0.0082 0.2500 0.5161
Ni 0.1771 0.7500 0.8540
Ni 0.4017 0.5018 0.3038
Ni 0.5983 0.0018 0.6962
Ni 0.5983 0.4982 0.6962
Ni 0.8229 0.2500 0.1460
Ni 0.4017 0.9982 0.3038
Pt 0.7944 0.7500 0.0890
Pt 0.2056 0.2500 0.9110

# Ni6Pt2W

A geometry-optimized Ni6Pt2W structure (PBE, Alexandria).

energy of formation = 0.048 eV per atom
total magnetic moment = 0.150 μB per atom
space-group type = C2/m
final energy = -6.59 eV per atom

a b c (Å): 5.9046 4.7970 4.7970
angles (deg): 59.97 89.89 89.89
Last column: magnetic moment on the atom in μB.
Fractional coordinates of all 9 atoms:
Ni 0.6645 0.1706 0.1706  0.24
Ni 0.6658 0.1706 0.6597  0.24
Ni 0.6658 0.6597 0.1706  0.24
Ni 0.3342 0.8294 0.3403  0.24
Ni 0.3355 0.8294 0.8294  0.24
Ni 0.3342 0.3403 0.8294  0.24
Pt 0.0785 0.3332 0.3332  0.03
Pt 0.9215 0.6668 0.6668  0.03
W 0.0000 0.0000 0.0000  -0.06

# Ni8Pt2W

A geometry-optimized Ni8Pt2W structure (PBE, Alexandria).

energy of formation = 0.090 eV per atom
total magnetic moment = 0.092 μB per atom
space-group type = P-1
final energy = -6.39 eV per atom

a b c (Å): 4.0717 4.8013 8.3758
angles (deg): 106.70 64.07 89.98
Last column: magnetic moment on the atom in μB.
Fractional coordinates of all 11 atoms:
Ni 0.1604 0.5445 0.0884  0.11
Ni 0.5084 0.6244 0.7637  0.11
Ni 0.4916 0.3756 0.2363  0.11
Ni 0.0752 0.8390 0.6783  0.14
Ni 0.4920 0.8609 0.2359  0.11
Ni 0.9248 0.1610 0.3217  0.14
Ni 0.5080 0.1391 0.7641  0.11
Ni 0.8396 0.4555 0.9116  0.11
Pt 0.2200 0.2779 0.5567  0.07
Pt 0.7800 0.7221 0.4433  0.07
W 0.0000 0.0000 0.0000  -0.04

# NiPtW2

A geometry-optimized NiPtW2 structure (PBE, Alexandria).

energy of formation = 0.052 eV per atom
total magnetic moment = 0.000 μB per atom
space-group type = C2/m
final energy = -9.38 eV per atom

a b c (Å): 4.8318 4.8318 4.5869
angles (deg): 78.98 78.98 34.48
Fractional coordinates of all 4 atoms:
Ni 0.2500 0.2500 0.2500
Pt 0.7500 0.7500 0.7500
W 0.5017 0.5017 0.4951
W 0.9983 0.9983 0.0049